1.
The following is a DFT calculation (GGA-PBE) of a relaxed structure of Tc3POs.

Lattice parameters (Å, degrees): 4.6929 4.6929 4.6929 90.00 90.00 90.00
Atoms (fractional coordinates):
Tc: 0.0000 0.0000 0.5000
Tc: 0.0000 0.5000 0.0000
Tc: 0.5000 0.0000 0.0000
P: 0.5000 0.5000 0.5000
Os: 0.0000 0.0000 0.0000

Properties
**Total magnetic moment**: 2.01 μB per formula unit
**E_form**: 9.8 eV/f.u.
**Mass density**: 8.3 Mg/m³
**Space group**: Pm-3m
**Relative energy among the computed polymorphs**: 5.85 eV/f.u.
**Raw total energy**: -7.5784 eV/atom

2.
The following is a DFT calculation (GGA-PBE) of a relaxed structure of MoAuCl2.

Lattice parameters (Å, degrees): 10.8953 10.8953 10.8953 16.05 16.05 16.05
Atoms (fractional coordinates):
Mo: 0.0000 0.0000 0.0000
Au: 0.5000 0.5000 0.5000
Cl: 0.3875 0.3875 0.3875
Cl: 0.6125 0.6125 0.6125

Properties
**Total magnetic moment**: 0.00 μB per formula unit
**Mass density**: 7.0 Mg/m³
**Space group**: R-3m
**Energy relative to the elements, uncorrected**: -0.170 eV/atom
**Relative energy among the computed polymorphs**: 0.09 eV/f.u.
**Raw total energy**: -4.6209 eV/atom

3.
The following is a DFT calculation (GGA-PBE) of a relaxed structure of Rb2AgHg.

Lattice parameters (Å, degrees): 4.3844 4.3844 8.7233 90.00 90.00 90.00
Atoms (fractional coordinates):
Rb: 0.0000 0.0000 0.2361
Rb: 0.0000 0.0000 0.7639
Ag: 0.5000 0.5000 0.0000
Hg: 0.5000 0.5000 0.5000

Properties
**Total magnetic moment**: 0.00 μB per formula unit
**E_form**: -0.2 eV/f.u.
**Mass density**: 4.7 Mg/m³
**Space group**: P4/mmm
**Raw total energy**: -1.3262 eV/atom

Question: Which value of total magnetic moment does entry 2 give?
Answer: 0.00 μB per formula unit

Question: total magnetic moment of number 3 (Rb2AgHg)?
Answer: 0.00 μB per formula unit

What did the first record say?
The following is a DFT calculation (GGA-PBE) of a relaxed structure of Tc3POs.

Lattice parameters (Å, degrees): 4.6929 4.6929 4.6929 90.00 90.00 90.00
Atoms (fractional coordinates):
Tc: 0.0000 0.0000 0.5000
Tc: 0.0000 0.5000 0.0000
Tc: 0.5000 0.0000 0.0000
P: 0.5000 0.5000 0.5000
Os: 0.0000 0.0000 0.0000

Properties
**Total magnetic moment**: 2.01 μB per formula unit
**E_form**: 9.8 eV/f.u.
**Mass density**: 8.3 Mg/m³
**Space group**: Pm-3m
**Relative energy among the computed polymorphs**: 5.85 eV/f.u.
**Raw total energy**: -7.5784 eV/atom

Question: Look up the total magnetic moment of the first one.
Answer: 2.01 μB per formula unit